Y2TlAs | PBE | optimized geometry

Formation enthalpy at 0 K: 0.00 eV/atom
Final energy: -4.99 eV per atom
Polymorph energy (0 for the lowest one): 0.929 eV per atom
M_tot: 0.0 μB per formula unit
Space-group type: F-43m

```
data_Y2TlAs
_cell_length_a 5.288
_cell_length_b 5.288
_cell_length_c 5.288
_cell_angle_alpha 60.00
_cell_angle_beta 60.00
_cell_angle_gamma 60.00
_space_group_name_H-M_alt 'P 1'
_space_group_IT_number 1
_space_group_name_Hall 'P 1'
loop_
_atom_site_label
_atom_site_type_symbol
_atom_site_fract_x
_atom_site_fract_y
_atom_site_fract_z
_atom_site_occupancy
As1 As 0.500 0.500 0.500 1
Y1 Y 0.000 0.000 0.000 1
Tl1 Tl 0.750 0.750 0.750 1
Y2 Y 0.250 0.250 0.250 1
```

Y2TlAs | PBE | optimized geometry

Formation enthalpy at 0 K: -0.87 eV/atom
Final energy: -5.86 eV per atom
Polymorph energy (0 for the lowest one): 0.058 eV per atom
M_tot: 0.0 μB per formula unit
Space-group type: R3m

```
data_Y2TlAs
_cell_length_a 3.966
_cell_length_b 3.966
_cell_length_c 8.507
_cell_angle_alpha 76.52
_cell_angle_beta 76.52
_cell_angle_gamma 60.00
_space_group_name_H-M_alt 'P 1'
_space_group_IT_number 1
_space_group_name_Hall 'P 1'
loop_
_atom_site_label
_atom_site_type_symbol
_atom_site_fract_x
_atom_site_fract_y
_atom_site_fract_z
_atom_site_occupancy
Y1 Y 0.068 0.068 0.795 1
As1 As 0.667 0.667 0.998 1
Y2 Y 0.265 0.265 0.206 1
Tl1 Tl 0.500 0.500 0.501 1
```

YTlAs | PBE | optimized geometry

Formation enthalpy at 0 K: -0.28 eV/atom
Final energy: -4.77 eV per atom
Polymorph energy (0 for the lowest one): 0.326 eV per atom
M_tot: 0.0 μB per formula unit
Space-group type: F-43m

```
data_YTlAs
_cell_length_a 4.980
_cell_length_b 4.980
_cell_length_c 4.980
_cell_angle_alpha 60.00
_cell_angle_beta 60.00
_cell_angle_gamma 60.00
_space_group_name_H-M_alt 'P 1'
_space_group_IT_number 1
_space_group_name_Hall 'P 1'
loop_
_atom_site_label
_atom_site_type_symbol
_atom_site_fract_x
_atom_site_fract_y
_atom_site_fract_z
_atom_site_occupancy
Tl1 Tl 0.500 0.500 0.500 1
As1 As 0.000 0.000 0.000 1
Y1 Y 0.750 0.750 0.750 1
```